Crystalline Ba3Tb2PaAs6 at its relaxed geometry, computed with PBE.

The structure in CIF format:
```
data_Ba3Tb2PaAs6
_chemical_formula_sum 'Ba6 Tb4 Pa2 As12'
_cell_length_a 7.539
_cell_length_b 13.064
_cell_length_c 7.875
_cell_angle_alpha 90.00
_cell_angle_beta 108.65
_cell_angle_gamma 90.00
_space_group_name_H-M_alt 'C 1 2/m 1'
_space_group_IT_number 12
_space_group_name_Hall '-C 2y'
loop_
_atom_site_label
_atom_site_type_symbol
_atom_site_fract_x
_atom_site_fract_y
_atom_site_fract_z
Ba1 Ba 0.000 0.000 0.000
Ba2 Ba 0.000 0.330 0.000
Tb1 Tb 0.000 0.166 0.500
Pa1 Pa 0.000 0.500 0.500
As1 As 0.230 0.338 0.705
As2 As 0.246 0.000 0.707
```

Crystalline Ba2ThPaAs4 at its relaxed geometry, computed with PBE.

The structure in CIF format:
```
data_Ba2ThPaAs4
_chemical_formula_sum 'Ba2 Th1 Pa1 As4'
_cell_length_a 7.560
_cell_length_b 4.370
_cell_length_c 7.919
_cell_angle_alpha 90.00
_cell_angle_beta 108.57
_cell_angle_gamma 90.00
_space_group_name_H-M_alt 'P 1 2/m 1'
_space_group_IT_number 10
_space_group_name_Hall '-P 2y'
loop_
_atom_site_label
_atom_site_type_symbol
_atom_site_fract_x
_atom_site_fract_y
_atom_site_fract_z
Ba1 Ba 0.000 0.000 0.000
Ba2 Ba 0.500 0.500 0.000
Th1 Th 0.000 0.500 0.500
Pa1 Pa 0.500 0.000 0.500
As1 As 0.246 0.000 0.708
As2 As 0.275 0.500 0.296
```

Crystalline Ba3Th2PaAs6 at its relaxed geometry, computed with PBE.

The structure in CIF format:
```
data_Ba3Th2PaAs6
_chemical_formula_sum 'Ba6 Th4 Pa2 As12'
_cell_length_a 7.599
_cell_length_b 13.160
_cell_length_c 7.940
_cell_angle_alpha 90.00
_cell_angle_beta 108.61
_cell_angle_gamma 90.00
_space_group_name_H-M_alt 'C 1 2/m 1'
_space_group_IT_number 12
_space_group_name_Hall '-C 2y'
loop_
_atom_site_label
_atom_site_type_symbol
_atom_site_fract_x
_atom_site_fract_y
_atom_site_fract_z
Ba1 Ba 0.000 0.000 0.000
Ba2 Ba 0.000 0.331 0.000
Th1 Th 0.000 0.166 0.500
Pa1 Pa 0.000 0.500 0.500
As1 As 0.230 0.339 0.708
As2 As 0.248 0.000 0.709
```

Which formation enthalpy at 0 K belongs to each record? In order, -14.42, -9.68, -15.04 eV per formula unit.